Compound: CoOsI2O
Source: the Alexandria database
Functional: PBE with a Hubbard U
Structure: optimized geometry

Values from the calculation:
**Offset from the most stable computed form**: 2.03 eV per formula unit
**E**: -20.321 eV per cell

The structure in CIF format:
```
data_CoOsI2O
_chemical_formula_sum 'Co1 Os1 I2 O1'
_symmetry_space_group_name_H-M 'P 4/m m m'
_symmetry_Int_Tables_number 123
_symmetry_space_group_name_Hall '-P 4 2'
_cell_length_a 5.307
_cell_length_b 5.307
_cell_length_c 3.435
_cell_angle_alpha 90.00
_cell_angle_beta 90.00
_cell_angle_gamma 90.00
loop_
_atom_site_label
_atom_site_type_symbol
_atom_site_fract_x
_atom_site_fract_y
_atom_site_fract_z
Co1 Co 0.000 0.000 0.000
Os1 Os 0.500 0.500 0.500
I1 I 0.000 0.500 0.000
O1 O 0.000 0.000 0.500
```